Entry 1:
The following is a DFT calculation (PBEsol) of a relaxed structure of SbS3I.

Lattice parameters (Å, degrees): 4.9848 4.9848 4.9848 90.00 90.00 90.00
Closest atoms and distances in Å follow each position.
Fractional positions:
S1 0.0000 0.0000 0.5000  2 Sb 2.49
S2 0.0000 0.5000 0.0000  2 Sb 2.49
S3 0.5000 0.0000 0.0000  2 Sb 2.49
I1 0.5000 0.5000 0.5000  12 S 3.52
Sb1 0.0000 0.0000 0.0000  6 S 2.49

VASP energy   -3.35 eV/atom



Entry 2:
The following is a DFT calculation (PBEsol) of a relaxed structure of GaTe3F.

Lattice parameters (Å, degrees): 5.2377 5.2377 5.2377 90.00 90.00 90.00
Closest atoms and distances in Å follow each position.
Fractional positions:
F1 0.5000 0.5000 0.5000  12 Te 3.70
Ga1 0.0000 0.0000 0.0000  6 Te 2.62
Te1 0.0000 0.0000 0.5000  2 Ga 2.62
Te2 0.5000 0.0000 0.0000  2 Ga 2.62
Te3 0.0000 0.5000 0.0000  2 Ga 2.62

ΔE to the lowest computed polymorph   337 meV per atom
VASP energy   -2.89 eV/atom